DFT (GGA-PBE) results for Ti2AlRe after structural relaxation.

Unit cell a=7.235 b=7.235 c=5.277 alpha=90.00 beta=90.00 gamma=90.00
Space group I-42d (No. 122)
Asymmetric unit:
Ti1 0.216 0.750 0.125
Al1 0.000 0.000 0.500
Re1 0.000 0.000 0.000

Computed properties:
Formation enthalpy at 0 K, eV/f.u.: 1.0

---

DFT (GGA-PBE) results for Ti8Al2Re after structural relaxation.

Unit cell a=4.569 b=6.146 c=13.268 alpha=90.00 beta=90.00 gamma=90.00
Space group Immm (No. 71)
Asymmetric unit:
Ti1 0.000 0.000 0.174
Ti2 0.000 0.228 0.362
Ti3 0.000 0.263 0.000
Al1 0.000 0.500 0.188
Re1 0.000 0.500 0.500

Computed properties:
Formation enthalpy at 0 K, eV/f.u.: -2.3